(i)
The following is a PBE-GGA calculation of crystalline Zn2AuBr at its relaxed geometry, from Alexandria.

Results
spin magnetization = 0.00 μB/f.u.
D(E_F) = 0.256 states/eV per atom

Cell and atoms, written as CIF:
```
data_Zn2AuBr
_chemical_formula_sum 'Zn4 Au2 Br2'
_cell_length_a 8.478
_cell_length_b 3.573
_cell_length_c 7.341
_cell_angle_alpha 90.00
_cell_angle_beta 123.96
_cell_angle_gamma 90.00
_space_group_name_H-M_alt 'C 1 2/m 1'
_space_group_IT_number 12
loop_
_space_group_symop_operation_xyz
'x,y,z'
'-x,-y,-z'
'-x,y,-z'
'x,-y,z'
'x+1/2,y+1/2,z'
'-x+1/2,-y+1/2,-z'
'-x+1/2,y+1/2,-z'
'x+1/2,-y+1/2,z'
loop_
_atom_site_label
_atom_site_type_symbol
_atom_site_fract_x
_atom_site_fract_y
_atom_site_fract_z
_atom_site_occupancy
Zn1 Zn 0.130 0.000 0.346 1
Au1 Au 0.000 0.500 0.500 1
Br1 Br 0.000 0.500 0.000 1
```


(ii)
The following is a PBE-GGA calculation of crystalline Zn2AuBr at its relaxed geometry, from Alexandria.

Results
spin magnetization = 0.00 μB/f.u.
D(E_F) = 0.300 states/eV per atom

Cell and atoms, written as CIF:
```
data_Zn2AuBr
_chemical_formula_sum 'Zn6 Au3 Br3'
_cell_length_a 3.7581
_cell_length_b 3.7581
_cell_length_c 21.0824
_cell_angle_alpha 90.00
_cell_angle_beta 90.00
_cell_angle_gamma 120.00
_space_group_name_H-M_alt 'R -3 m'
_space_group_IT_number 166
_space_group_name_Hall '-R 3 2"'
loop_
_atom_site_label
_atom_site_type_symbol
_atom_site_fract_x
_atom_site_fract_y
_atom_site_fract_z
_atom_site_occupancy
Zn1 Zn 0.0000 0.0000 0.2384 1
Au1 Au 0.0000 0.0000 0.5000 1
Br1 Br 0.0000 0.0000 0.0000 1
```


(iii)
The following is a PBE-GGA calculation of crystalline Zn2AuBr at its relaxed geometry, from Alexandria.

Results
spin magnetization = 0.00 μB/f.u.
D(E_F) = 0.292 states/eV per atom

Cell and atoms, written as CIF:
```
data_Zn2AuBr
_chemical_formula_sum 'Zn4 Au2 Br2'
_cell_length_a 3.574
_cell_length_b 3.628
_cell_length_c 14.015
_cell_angle_alpha 90.00
_cell_angle_beta 90.00
_cell_angle_gamma 90.00
_space_group_name_H-M_alt 'I m m 2'
_space_group_IT_number 44
loop_
_space_group_symop_operation_xyz
'x,y,z'
'-x,-y,z'
'-x,y,z'
'x,-y,z'
'x+1/2,y+1/2,z+1/2'
'-x+1/2,-y+1/2,z+1/2'
'-x+1/2,y+1/2,z+1/2'
'x+1/2,-y+1/2,z+1/2'
loop_
_atom_site_label
_atom_site_type_symbol
_atom_site_fract_x
_atom_site_fract_y
_atom_site_fract_z
_atom_site_occupancy
Zn1 Zn 0.000 0.000 0.000 1
Zn2 Zn 0.000 0.500 0.178 1
Au1 Au 0.000 0.500 0.643 1
Br1 Br 0.000 0.000 0.405 1
```


(iv)
The following is a PBE-GGA calculation of crystalline Zn2AuBr at its relaxed geometry, from Alexandria.

Results
spin magnetization = 0.00 μB/f.u.
D(E_F) = 0.419 states/eV per atom

Cell and atoms, written as CIF:
```
data_Zn2AuBr
_chemical_formula_sum 'Zn4 Au2 Br2'
_cell_length_a 6.319
_cell_length_b 7.737
_cell_length_c 3.137
_cell_angle_alpha 90.00
_cell_angle_beta 90.00
_cell_angle_gamma 90.00
_space_group_name_H-M_alt 'C m m m'
_space_group_IT_number 65
_space_group_name_Hall '-C 2 2'
loop_
_atom_site_label
_atom_site_type_symbol
_atom_site_fract_x
_atom_site_fract_y
_atom_site_fract_z
_atom_site_occupancy
Zn1 Zn 0.250 0.250 0.000 1
Au1 Au 0.000 0.000 0.500 1
Br1 Br 0.000 0.500 0.500 1
```


Which one sits at the bottom of the stability order? (iv) does.


(i)
The following is a PBE-GGA calculation of crystalline Zn2AuBr at its relaxed geometry, from Alexandria.

Results
spin magnetization = 0.00 μB/f.u.
D(E_F) = 0.347 states/eV per atom

Cell and atoms, written as CIF:
```
data_Zn2AuBr
_chemical_formula_sum 'Zn4 Au2 Br2'
_cell_length_a 4.576
_cell_length_b 4.576
_cell_length_c 7.607
_cell_angle_alpha 90.00
_cell_angle_beta 90.00
_cell_angle_gamma 90.00
_space_group_name_H-M_alt 'I 4/m m m'
_space_group_IT_number 139
_space_group_name_Hall '-I 4 2'
loop_
_atom_site_label
_atom_site_type_symbol
_atom_site_fract_x
_atom_site_fract_y
_atom_site_fract_z
_atom_site_occupancy
Zn1 Zn 0.000 0.500 0.250 1
Au1 Au 0.000 0.000 0.000 1
Br1 Br 0.000 0.000 0.500 1
```


(ii)
The following is a PBE-GGA calculation of crystalline Zn2AuBr at its relaxed geometry, from Alexandria.

Results
spin magnetization = 0.00 μB/f.u.
D(E_F) = 0.225 states/eV per atom

Cell and atoms, written as CIF:
```
data_Zn2AuBr
_chemical_formula_sum 'Zn2 Au1 Br1'
_cell_length_a 3.652
_cell_length_b 3.652
_cell_length_c 7.400
_cell_angle_alpha 90.00
_cell_angle_beta 90.00
_cell_angle_gamma 90.00
_space_group_name_H-M_alt 'P 4 m m'
_space_group_IT_number 99
loop_
_space_group_symop_operation_xyz
'x,y,z'
'-y,x,z'
'-x,-y,z'
'y,-x,z'
'-x,y,z'
'y,x,z'
'x,-y,z'
'-y,-x,z'
loop_
_atom_site_label
_atom_site_type_symbol
_atom_site_fract_x
_atom_site_fract_y
_atom_site_fract_z
_atom_site_occupancy
Zn1 Zn 0.000 0.000 0.000 1
Zn2 Zn 0.500 0.500 0.367 1
Au1 Au 0.000 0.000 0.341 1
Br1 Br 0.500 0.500 0.863 1
```


Which one sits at the bottom of the stability order? (i) does.